# 1
Below is a relaxed structure of ZrBeAu, with properties calculated at the GGA-PBE level.

Structure (POSCAR):
```
ZrBeAu
1.0
-1.527 1.527 5.201
1.527 -1.527 5.201
1.527 1.527 -5.201
Zr Be Au
1 1 1
direct
0.000 0.000 0.000
0.677 0.677 0.000
0.295 0.295 0.000
```

Computed properties:
Electronic total energy, Ry per atom: -0.400
Total moment, μB/cell: 0.00
Energy relative to the elements, eV per atom: -0.2584


# 2
Below is a relaxed structure of Zr2BeAu3, with properties calculated at the GGA-PBE level.

Structure (POSCAR):
```
Zr2BeAu3
1.0
2.995 0.000 0.000
0.000 4.514 0.000
0.000 0.000 7.941
Zr Be Au
2 1 3
direct
0.000 0.000 0.000
0.000 0.500 0.495
0.500 0.000 0.323
0.500 0.000 0.631
0.500 0.500 0.184
0.500 0.500 0.834
```

Computed properties:
Electronic total energy, Ry per atom: -0.407
Total moment, μB/cell: 0.00
Energy relative to the elements, eV per atom: -0.4261